Entry from the Alexandria database: Sr2CaIr after structural relaxation (PBE). Values from VASP.

Values from the calculation:
E above lowest polymorph   0.152 eV/atom
Magnetization   0.00 μB/f.u.
Formation energy   -0.07 eV/atom
Total energy   -14.521 eV per cell

Cell and atoms, written as Quantum ESPRESSO input:
```
&SYSTEM
  ibrav = 0, nat = 4, ntyp = 3
/
ATOMIC_SPECIES
Sr 87.62 Sr.upf
Ca 40.08 Ca.upf
Ir 192.22 Ir.upf
CELL_PARAMETERS angstrom
-5.146 -1.133 6.888
-6.540 -3.502 4.492
1.912 -3.713 2.559
ATOMIC_POSITIONS angstrom
Sr 0.586 -3.803 3.419
Sr -3.561 -4.084 6.109
Ca -2.443 -2.087 3.485
Ir -7.330 -6.261 10.454
```

=====

Entry from the Alexandria database: Pm2NdDy2Y4 after structural relaxation (PBE). Values from VASP.

Values from the calculation:
Magnetization   0.00 μB/f.u.
Formation energy   -0.01 eV/atom
Total energy   -49.381 eV per cell

Cell and atoms, written as Quantum ESPRESSO input:
```
&SYSTEM
  ibrav = 0, nat = 9, ntyp = 4
/
ATOMIC_SPECIES
Pm 145.00 Pm.upf
Nd 144.24 Nd.upf
Dy 162.50 Dy.upf
Y 88.91 Y.upf
CELL_PARAMETERS angstrom
-1.941 2.166 2.163
-1.171 -8.449 4.371
8.008 4.788 2.392
ATOMIC_POSITIONS angstrom
Pm -1.419 -4.902 3.635
Pm 6.315 3.408 5.292
Nd 0.000 0.000 0.000
Dy 0.206 -2.498 5.723
Dy 4.690 1.003 3.205
Y 3.005 -0.360 6.094
Y 1.891 -1.135 2.833
Y 1.645 2.411 2.099
Y 3.252 -3.906 6.828
```

=====

Entry from the Alexandria database: K2LiHf2Te6 after structural relaxation (PBE). Values from VASP.

Values from the calculation:
Magnetization   0.00 μB/f.u.
Total energy   -52.530 eV per cell
Formation energy from raw total energies   -0.879 eV/atom

Cell and atoms, written as Quantum ESPRESSO input:
```
&SYSTEM
  ibrav = 0, nat = 11, ntyp = 4
/
ATOMIC_SPECIES
K 39.10 K.upf
Li 6.94 Li.upf
Hf 178.49 Hf.upf
Te 127.60 Te.upf
CELL_PARAMETERS angstrom
-4.340 -4.308 -3.780
5.493 -2.777 3.714
-5.443 1.405 6.855
ATOMIC_POSITIONS angstrom
K -2.736 -4.058 -2.558
K 3.889 -3.026 2.491
Li -2.721 0.703 3.427
Hf -0.495 -2.583 4.652
Hf -3.794 -3.096 2.137
Te -2.977 -4.066 4.737
Te -1.837 -0.436 6.042
Te -1.312 -1.614 2.052
Te -5.201 -0.960 3.478
Te -2.453 -5.243 0.747
Te 0.911 -4.720 3.311
```

=====

Entry from the Alexandria database: Zr2PaMoC4 after structural relaxation (PBE). Values from VASP.

Values from the calculation:
Magnetization   0.00 μB/f.u.
Formation energy   -0.33 eV/atom
Total energy   -153.956 eV per cell

Cell and atoms, written as Quantum ESPRESSO input:
```
&SYSTEM
  ibrav = 0, nat = 16, ntyp = 4
/
ATOMIC_SPECIES
Zr 91.22 Zr.upf
Pa 231.04 Pa.upf
Mo 95.94 Mo.upf
C 12.01 C.upf
CELL_PARAMETERS angstrom
3.336 0.000 0.000
-1.668 5.839 0.000
0.000 0.000 11.617
ATOMIC_POSITIONS angstrom
Zr 0.000 4.314 6.239
Zr 1.668 1.525 0.431
Zr 1.668 1.525 5.378
Zr 0.000 4.314 11.186
Pa 0.000 1.350 8.713
Pa 1.668 4.489 2.904
Mo 1.668 4.101 8.713
Mo 0.000 1.737 2.904
C 0.000 3.068 1.425
C 1.668 2.771 7.234
C 1.668 2.771 10.192
C 0.000 3.068 4.383
C 0.000 0.000 5.808
C 0.000 0.000 0.000
C 0.000 5.345 8.713
C 1.668 0.494 2.904
```

=====

Entry from the Alexandria database: Ac8Mg2Hg after structural relaxation (PBE). Values from VASP.

Values from the calculation:
Magnetization   0.00 μB/f.u.
Formation energy   -0.05 eV/atom
Total energy   -36.871 eV per cell

Cell and atoms, written as Quantum ESPRESSO input:
```
&SYSTEM
  ibrav = 0, nat = 11, ntyp = 3
/
ATOMIC_SPECIES
Ac 227.00 Ac.upf
Mg 24.30 Mg.upf
Hg 200.59 Hg.upf
CELL_PARAMETERS angstrom
-0.197 -5.565 1.663
6.678 0.893 3.781
-7.037 5.052 5.921
ATOMIC_POSITIONS angstrom
Ac -2.153 2.334 7.557
Ac 4.024 -1.198 6.624
Ac 0.317 -0.791 7.546
Ac -5.379 -0.403 8.168
Ac -0.873 1.172 3.818
Ac -4.580 1.579 4.741
Ac 1.597 -1.953 3.808
Ac 4.823 0.784 3.196
Mg -2.720 -1.115 6.101
Mg 2.164 1.496 5.264
Hg -0.099 -2.782 0.831
```

=====

Entry from the Alexandria database: Sm3Ga2Ge4 after structural relaxation (PBE). Values from VASP.

Values from the calculation:
Magnetization   0.00 μB/f.u.
Formation energy   -0.61 eV/atom
Total energy   -44.145 eV per cell

Cell and atoms, written as Quantum ESPRESSO input:
```
&SYSTEM
  ibrav = 0, nat = 9, ntyp = 3
/
ATOMIC_SPECIES
Sm 150.36 Sm.upf
Ga 69.72 Ga.upf
Ge 72.64 Ge.upf
CELL_PARAMETERS angstrom
4.173 0.000 0.000
-2.087 5.640 -0.391
0.000 -2.858 8.595
ATOMIC_POSITIONS angstrom
Sm 2.087 -0.570 5.866
Sm 0.000 0.000 0.000
Sm 0.000 3.352 2.338
Ga 2.087 1.067 2.641
Ga 0.000 1.715 5.563
Ge 2.087 2.239 0.312
Ge 0.000 0.543 7.892
Ge 2.087 2.950 4.814
Ge 0.000 -0.168 3.390
```